[1]
AlBiTeOs2: relaxed, PBE-GGA.

Cell: 4.912 4.912 5.097 Å, 90.00 90.00 90.00°
Space group P4/mmm (No. 123)
Asymmetric unit:
Al  0.000  0.000  0.000 x1
Bi  0.500  0.500  0.000 x1
Te  0.000  0.000  0.500 x1
Os  0.000  0.500  0.500 x2

Computed properties:
* uncorrected formation energy: 1.767 eV/atom
* crystal system: tetragonal

***

[2]
AlZn2BiOs: relaxed, PBE-GGA.

Cell: 5.134 5.134 5.429 Å, 90.00 90.00 90.00°
Space group P4/mmm (No. 123)
Asymmetric unit:
Al  0.000  0.000  0.000 x1
Zn  0.000  0.500  0.500 x2
Bi  0.000  0.000  0.500 x1
Os  0.500  0.500  0.000 x1

Computed properties:
* energy of formation from the pure elements: 9.3 eV/f.u.
* crystal system: tetragonal

***

Calculated Fermi-level density of states, 1.06 1.30 states/eV/atom (same order as the records).
Calculated magnetization, 0.0 2.4 μB per formula unit (same order as the records).